Below is a relaxed structure of Li2Ce2PrIn2, with properties calculated at the PBE level.

## Properties
Its total energy is -82.659 eV per cell. The calculation puts the formation energy from the elements at -22 kJ/mol of atoms. The calculation puts the density of states at the Fermi level at 1.40 states/eV/atom.

```
data_Li2Ce2PrIn2
_chemical_formula_sum 'Li6 Ce6 Pr3 In6'
_cell_length_a 4.6693
_cell_length_b 4.6693
_cell_length_c 27.9543
_cell_angle_alpha 90.00
_cell_angle_beta 90.00
_cell_angle_gamma 120.00
_space_group_name_H-M_alt 'R -3 m'
_space_group_IT_number 166
_space_group_name_Hall '-R 3 2"'
loop_
_atom_site_label
_atom_site_type_symbol
_atom_site_fract_x
_atom_site_fract_y
_atom_site_fract_z
Li1 Li 0.0000 0.0000 0.0844
Ce1 Ce 0.0000 0.0000 0.3554
Pr1 Pr 0.0000 0.0000 0.5000
In1 In 0.0000 0.0000 0.2382
```